(1)
The following is a DFT calculation (PBE) of a relaxed structure of ZrRuS3.

abc: 4.945 4.945 4.945
angles: 90.00 90.00 90.00
Space group Pm-3m (No. 221)
Inequivalent atoms, fractional coordinates:
Zr  0.000  0.000  0.000 [1 per cell]
Ru  0.500  0.500  0.500 [1 per cell]
S  0.000  0.000  0.500 [3 per cell]

Summary:
distance to the lowest polymorph of the same formula: 211 meV per atom
V: 24.19 A^3/atom
DFT total energy: -5.8248 eV/atom

(2)
The following is a DFT calculation (PBE) of a relaxed structure of Ba2ScSb4Pd3.

abc: 4.730 4.730 11.668
angles: 90.00 90.00 90.00
Space group P-4m2 (No. 115)
Inequivalent atoms, fractional coordinates:
Ba  0.000  0.500  0.242 [2 per cell]
Sc  0.000  0.000  0.500 [1 per cell]
Sb  0.000  0.000  0.000 [1 per cell]
Sb  0.000  0.500  0.639 [2 per cell]
Sb  0.500  0.500  0.000 [1 per cell]
Pd  0.000  0.500  0.879 [2 per cell]
Pd  0.500  0.500  0.500 [1 per cell]

Summary:
V: 26.10 A^3/atom
DFT total energy: -5.0887 eV/atom

(3)
The following is a DFT calculation (PBE) of a relaxed structure of PrCu9Sn4.

abc: 9.138 9.138 11.833
angles: 90.00 90.00 90.00
Space group I4/mcm (No. 140)
Inequivalent atoms, fractional coordinates:
Pr  0.000  0.000  0.250 [4 per cell]
Cu  0.000  0.500  0.000 [4 per cell]
Cu  0.102  0.398  0.178 [16 per cell]
Cu  0.202  0.298  0.352 [16 per cell]
Sn  0.036  0.220  0.000 [16 per cell]

Summary:
V: 17.64 A^3/atom
DFT total energy: -4.1182 eV/atom
energy of formation from the pure elements: 0 meV per atom

(4)
The following is a DFT calculation (PBE) of a relaxed structure of FePt3W.

abc: 14.181 3.918 5.505
angles: 90.00 101.67 90.00
Space group C2/m (No. 12)
Inequivalent atoms, fractional coordinates:
Fe  0.197  0.000  0.352 [4 per cell]
Pt  0.004  0.000  0.246 [4 per cell]
Pt  0.111  0.500  0.547 [4 per cell]
Pt  0.202  0.000  0.855 [4 per cell]
W  0.102  0.500  0.052 [4 per cell]

Summary:
distance to the lowest polymorph of the same formula: 0 meV per atom
V: 14.98 A^3/atom
DFT total energy: -8.1339 eV/atom
energy of formation from the pure elements: -226 meV per atom

(5)
The following is a DFT calculation (PBE) of a relaxed structure of AlFeSeBr2.

abc: 5.196 5.196 4.461
angles: 90.00 90.00 90.00
Space group P4/mmm (No. 123)
Inequivalent atoms, fractional coordinates:
Al  0.000  0.000  0.000 [1 per cell]
Fe  0.500  0.500  0.500 [1 per cell]
Se  0.500  0.500  0.000 [1 per cell]
Br  0.000  0.500  0.500 [2 per cell]

Summary:
distance to the lowest polymorph of the same formula: 0 meV per atom
V: 24.09 A^3/atom
DFT total energy: -3.6515 eV/atom

(6)
The following is a DFT calculation (PBE) of a relaxed structure of TcPW2.

abc: 3.225 4.666 7.940
angles: 90.00 90.00 90.00
Space group Cmm2 (No. 35)
Inequivalent atoms, fractional coordinates:
Tc  0.000  0.000  0.000 [2 per cell]
P  0.000  0.500  0.785 [2 per cell]
W  0.000  0.000  0.553 [2 per cell]
W  0.000  0.500  0.276 [2 per cell]

Summary:
V: 14.93 A^3/atom
DFT total energy: -10.2572 eV/atom
energy of formation from the pure elements: 163 meV per atom

- Look up the DFT total energy of the second one.
  -5.0887 eV/atom

- Among the records above, which one has the lowest V?
  TcPW2

- Number 3 is which compound?
  PrCu9Sn4

Please write out number 4 again, unchanged.
The following is a DFT calculation (PBE) of a relaxed structure of FePt3W.

abc: 14.181 3.918 5.505
angles: 90.00 101.67 90.00
Space group C2/m (No. 12)
Inequivalent atoms, fractional coordinates:
Fe  0.197  0.000  0.352 [4 per cell]
Pt  0.004  0.000  0.246 [4 per cell]
Pt  0.111  0.500  0.547 [4 per cell]
Pt  0.202  0.000  0.855 [4 per cell]
W  0.102  0.500  0.052 [4 per cell]

Summary:
distance to the lowest polymorph of the same formula: 0 meV per atom
V: 14.98 A^3/atom
DFT total energy: -8.1339 eV/atom
energy of formation from the pure elements: -226 meV per atom